{"formula": "KZnFe3", "functional": "PBE", "state": "optimized geometry", "cell": [[-2.401, -3.184, -2.047], [3.784, -2.075, -1.210], [-0.088, -2.376, 3.800]], "species": ["Fe", "K", "Fe", "Fe", "Zn"], "frac_coords": [[0.500, 0.000, 0.000], [0.000, 0.000, 0.000], [0.000, 0.500, 0.000], [0.000, 0.000, 0.500], [0.500, 0.500, 0.500]], "total_magnetization_mub_per_atom": 1.508, "e_tot_ha_per_atom": -0.1167, "spacegroup": "Pm-3m (221)", "e_form_ev_per_atom": 2.376}